Sr4CaTl after structural relaxation. Source: Alexandria, functional PBE.

Properties
**Space group**: No. 15
**ΔE to the lowest computed polymorph**: 1.01 kcal/mol of atoms
**Formation enthalpy at 0 K**: -0.091 eV/atom
**Calculated volume**: 286.3 Å³/f.u.

a = 9.386 Å, b = 9.386 Å, c = 7.399 Å
α = 100.38°, β = 100.38°, γ = 111.88°
Positions (direct):
Sr1 0.066 0.723 0.947
Sr2 0.179 0.369 0.628
Sr3 0.277 0.934 0.553
Sr4 0.369 0.179 0.128
Sr5 0.631 0.821 0.872
Sr6 0.723 0.066 0.447
Sr7 0.821 0.631 0.372
Sr8 0.934 0.277 0.053
Ca1 0.390 0.610 0.250
Ca2 0.610 0.390 0.750
Tl1 0.002 0.998 0.250
Tl2 0.998 0.002 0.750

SrCa4Tl15 after structural relaxation. Source: Alexandria, functional PBE.

Properties
**Space group**: No. 123
**Formation enthalpy at 0 K**: -0.243 eV/atom
**Calculated volume**: 585.4 Å³/f.u.

a = 4.886 Å, b = 4.886 Å, c = 24.520 Å
α = 90.00°, β = 90.00°, γ = 90.00°
Positions (direct):
Sr1 0.000 0.000 0.000
Ca1 0.000 0.000 0.203
Ca2 0.000 0.000 0.401
Ca3 0.000 0.000 0.599
Ca4 0.000 0.000 0.797
Tl1 0.000 0.500 0.104
Tl2 0.000 0.500 0.302
Tl3 0.000 0.500 0.500
Tl4 0.000 0.500 0.698
Tl5 0.000 0.500 0.896
Tl6 0.500 0.000 0.104
Tl7 0.500 0.000 0.302
Tl8 0.500 0.000 0.500
Tl9 0.500 0.000 0.698
Tl10 0.500 0.000 0.896
Tl11 0.500 0.500 0.000
Tl12 0.500 0.500 0.202
Tl13 0.500 0.500 0.401
Tl14 0.500 0.500 0.599
Tl15 0.500 0.500 0.798

Sr3CaTl after structural relaxation. Source: Alexandria, functional PBE.

Properties
**Space group**: No. 221
**ΔE to the lowest computed polymorph**: 18.62 kcal/mol of atoms
**Formation enthalpy at 0 K**: 0.637 eV/atom
**Calculated volume**: 297.5 Å³/f.u.

a = 6.676 Å, b = 6.676 Å, c = 6.676 Å
α = 90.00°, β = 90.00°, γ = 90.00°
Positions (direct):
Sr1 0.000 0.000 0.500
Sr2 0.000 0.500 0.000
Sr3 0.500 0.000 0.000
Ca1 0.000 0.000 0.000
Tl1 0.500 0.500 0.500